Compound: NiHg2W
Source: the Alexandria database
Functional: SCAN
Structure: single point on PBEsol structure

abc: 4.538 4.538 4.538
angles: 60.00 60.00 60.00
Fractional coordinates of all 4 atoms:
1 Hg 0.000 0.000 0.000
2 Hg 0.250 0.250 0.250
3 Ni 0.500 0.500 0.500
4 W 0.750 0.750 0.750

* polymorph energy (0 for the lowest one): 0.6080 eV per atom
* magnetic moment: 0.18 μB per atom
* ΔE_f: 1.0028 eV/atom